1.
# ScCrS2N (PBE, optimized geometry)
data_ScCrS2N
_chemical_formula_sum 'Sc1 Cr1 S2 N1'
_space_group_name_H-M_alt 'P 4/m m m'
_space_group_IT_number 123
_space_group_name_Hall '-P 4 2'
_cell_length_a 4.692
_cell_length_b 4.692
_cell_length_c 3.565
_cell_angle_alpha 90.00
_cell_angle_beta 90.00
_cell_angle_gamma 90.00
loop_
_atom_site_label
_atom_site_fract_x
_atom_site_fract_y
_atom_site_fract_z
Sc1 0.000 0.000 0.000
Cr1 0.500 0.500 0.500
S1 0.000 0.500 0.500
N1 0.500 0.500 0.000
# * V: 78 Å³/f.u.
# * total energy: -7.08 eV per atom

=====

2.
# CrSeS2N (PBE, optimized geometry)
data_CrSeS2N
_chemical_formula_sum 'Cr1 Se1 S2 N1'
_space_group_name_H-M_alt 'P 4/m m m'
_space_group_IT_number 123
_space_group_name_Hall '-P 4 2'
_cell_length_a 4.670
_cell_length_b 4.670
_cell_length_c 3.543
_cell_angle_alpha 90.00
_cell_angle_beta 90.00
_cell_angle_gamma 90.00
loop_
_atom_site_label
_atom_site_fract_x
_atom_site_fract_y
_atom_site_fract_z
Cr1 0.000 0.000 0.000
Se1 0.500 0.500 0.500
S1 0.000 0.500 0.000
N1 0.000 0.000 0.500
# * V: 77 Å³/f.u.
# * total energy: -5.54 eV per atom

=====

3.
# CrSeS2N (PBE, optimized geometry)
data_CrSeS2N
_chemical_formula_sum 'Cr1 Se1 S2 N1'
_space_group_name_H-M_alt 'P 4/m m m'
_space_group_IT_number 123
_space_group_name_Hall '-P 4 2'
_cell_length_a 4.893
_cell_length_b 4.893
_cell_length_c 3.639
_cell_angle_alpha 90.00
_cell_angle_beta 90.00
_cell_angle_gamma 90.00
loop_
_atom_site_label
_atom_site_fract_x
_atom_site_fract_y
_atom_site_fract_z
Cr1 0.000 0.000 0.000
Se1 0.500 0.500 0.500
S1 0.000 0.500 0.500
N1 0.500 0.500 0.000
# * V: 87 Å³/f.u.
# * total energy: -4.87 eV per atom

=====

Asked for total moment across the records above, the calculation gives 1.6, 0.6, 3.3 μB/f.u. in order.
Asked for raw formation energy across the records above, the calculation gives -0.575, 0.394, 1.065 eV/atom in order.